Below is a geometry-optimized LaTb2TlZn3In2 structure, with properties calculated at the PBE level.

Output
- Total energy: -28.98 eV/cell

Cell: 4.634 7.426 7.426 Å, 120.84 90.00 90.00°
Atoms (fractional coordinates):
La: 0.000 0.000 0.000
Tb: 0.000 0.431 0.863
Tb: 0.000 0.863 0.431
Tl: 0.000 0.443 0.443
Zn: 0.500 0.184 0.432
Zn: 0.500 0.432 0.184
Zn: 0.500 0.684 0.684
In: 0.500 0.103 0.759
In: 0.500 0.759 0.103

Below is a geometry-optimized PrGeB structure, with properties calculated at the PBE level.

Output
- Distance to the lowest polymorph of the same formula: 0.000 eV/f.u.

Cell: 4.384 4.384 4.384 Å, 60.00 60.00 60.00°
Atoms (fractional coordinates):
Pr: 0.000 0.000 0.000
Ge: 0.500 0.500 0.500
B: 0.750 0.750 0.750

Below is a geometry-optimized DyHo2In3CuAu2 structure, with properties calculated at the PBE level.

Output
- Total energy: -38.22 eV/cell

Cell: 3.858 7.748 7.748 Å, 120.04 90.00 90.00°
Atoms (fractional coordinates):
Dy: 0.000 0.000 0.000
Ho: 0.000 0.195 0.597
Ho: 0.000 0.597 0.195
In: 0.500 0.347 0.347
In: 0.500 0.597 0.848
In: 0.500 0.848 0.597
Cu: 0.000 0.597 0.597
Au: 0.500 0.264 0.931
Au: 0.500 0.931 0.264

Below is a geometry-optimized TbDy2In3AgPt2 structure, with properties calculated at the PBE level.

Output
- Total energy: -44.42 eV/cell

Cell: 3.776 7.827 7.827 Å, 120.05 90.00 90.00°
Atoms (fractional coordinates):
Tb: 0.000 0.000 0.000
Dy: 0.000 0.409 0.819
Dy: 0.000 0.819 0.409
In: 0.500 0.141 0.410
In: 0.500 0.410 0.141
In: 0.500 0.678 0.678
Ag: 0.000 0.409 0.409
Pt: 0.500 0.076 0.742
Pt: 0.500 0.742 0.076

Below is a geometry-optimized TbTmZn2In2 structure, with properties calculated at the PBE level.

Output
- Total energy: -19.62 eV/cell

Cell: 4.674 4.674 7.132 Å, 90.00 90.00 120.00°
Atoms (fractional coordinates):
Tb: 0.000 0.000 0.000
Tm: 0.000 0.000 0.500
Zn: 0.333 0.667 0.260
Zn: 0.667 0.333 0.740
In: 0.333 0.667 0.744
In: 0.667 0.333 0.256

Below is a geometry-optimized HgBiW structure, with properties calculated at the PBE level.

Output
- Distance to the lowest polymorph of the same formula: 0.049 eV/f.u.

Cell: 4.759 4.759 4.759 Å, 60.00 60.00 60.00°
Atoms (fractional coordinates):
Hg: 0.000 0.000 0.000
Bi: 0.500 0.500 0.500
W: 0.750 0.750 0.750

Below is a geometry-optimized AcHg2Pd structure, with properties calculated at the PBE level.

Output
- Energy of formation from the pure elements: -0.59 eV per atom

Cell: 5.734 5.734 8.632 Å, 90.00 90.00 134.94°
Atoms (fractional coordinates):
Ac: 0.068 0.932 0.750
Ac: 0.932 0.068 0.250
Hg: 0.357 0.643 0.549
Hg: 0.357 0.643 0.951
Hg: 0.643 0.357 0.049
Hg: 0.643 0.357 0.451
Pd: 0.221 0.779 0.250
Pd: 0.779 0.221 0.750

Below is a geometry-optimized BeNbInNi structure, with properties calculated at the PBE level.

Output
- Distance to the lowest polymorph of the same formula: 0.000 eV/f.u.

Cell: 4.345 4.345 4.345 Å, 60.00 60.00 60.00°
Atoms (fractional coordinates):
Be: 0.000 0.000 0.000
Nb: 0.750 0.750 0.750
In: 0.250 0.250 0.250
Ni: 0.500 0.500 0.500

Below is a geometry-optimized Pu3Zr4 structure, with properties calculated at the PBE level.

Output
- Energy of formation from the pure elements: 0.04 eV per atom

Cell: 8.561 5.323 8.586 Å, 90.00 119.80 90.00°
Atoms (fractional coordinates):
Pu: 0.049 0.250 0.241
Pu: 0.189 0.250 0.945
Pu: 0.247 0.750 0.193
Pu: 0.753 0.250 0.807
Pu: 0.811 0.750 0.055
Pu: 0.951 0.750 0.759
Zr: 0.100 0.750 0.489
Zr: 0.331 0.250 0.666
Zr: 0.392 0.750 0.903
Zr: 0.485 0.250 0.388
Zr: 0.515 0.750 0.612
Zr: 0.608 0.250 0.097
Zr: 0.669 0.750 0.334
Zr: 0.900 0.250 0.511

Below is a geometry-optimized DyTlFeSe3 structure, with properties calculated at the PBE level.

Output
- Total energy: -62.93 eV/cell

Cell: 8.967 4.057 9.876 Å, 90.00 108.55 90.00°
Atoms (fractional coordinates):
Dy: 0.175 0.250 0.146
Dy: 0.825 0.750 0.854
Tl: 0.278 0.750 0.749
Tl: 0.722 0.250 0.251
Fe: 0.428 0.750 0.414
Fe: 0.572 0.250 0.586
Se: 0.046 0.250 0.845
Se: 0.286 0.250 0.461
Se: 0.406 0.750 0.161
Se: 0.594 0.250 0.839
Se: 0.714 0.750 0.539
Se: 0.954 0.750 0.155

Below is a geometry-optimized Na2DyHoO4 structure, with properties calculated at the PBE level.

Output
- Distance to the lowest polymorph of the same formula: 4.609 eV/f.u.

Cell: 15.382 15.382 3.183 Å, 93.65 93.65 156.57°
Atoms (fractional coordinates):
Na: 0.127 0.873 0.000
Na: 0.340 0.660 0.000
Na: 0.660 0.340 0.000
Na: 0.873 0.127 0.000
Dy: 0.436 0.564 0.000
Dy: 0.564 0.436 0.000
Ho: 0.236 0.764 0.000
Ho: 0.764 0.236 0.000
O: 0.030 0.448 0.686
O: 0.197 0.373 0.375
O: 0.373 0.197 0.375
O: 0.448 0.030 0.686
O: 0.552 0.970 0.314
O: 0.627 0.803 0.625
O: 0.803 0.627 0.625
O: 0.970 0.552 0.314

Below is a geometry-optimized BaTaCuNi structure, with properties calculated at the PBE level.

Output
- Distance to the lowest polymorph of the same formula: 0.367 eV/f.u.

Cell: 4.733 4.733 4.733 Å, 60.00 60.00 60.00°
Atoms (fractional coordinates):
Ba: 0.000 0.000 0.000
Ta: 0.750 0.750 0.750
Cu: 0.250 0.250 0.250
Ni: 0.500 0.500 0.500

Below is a geometry-optimized PuTlBi structure, with properties calculated at the PBE level.

Output
- Distance to the lowest polymorph of the same formula: 0.405 eV/f.u.

Cell: 5.283 5.283 5.283 Å, 60.00 60.00 60.00°
Atoms (fractional coordinates):
Pu: 0.000 0.000 0.000
Tl: 0.750 0.750 0.750
Bi: 0.500 0.500 0.500

Below is a geometry-optimized FeHgBiW structure, with properties calculated at the PBE level.

Output
- Distance to the lowest polymorph of the same formula: 0.000 eV/f.u.

Cell: 4.733 4.733 4.733 Å, 60.00 60.00 60.00°
Atoms (fractional coordinates):
Fe: 0.000 0.000 0.000
Hg: 0.250 0.250 0.250
Bi: 0.750 0.750 0.750
W: 0.500 0.500 0.500

Below is a geometry-optimized PuZrAu structure, with properties calculated at the PBE level.

Output
- Energy of formation from the pure elements: 0.33 eV per atom

Cell: 4.648 4.648 4.648 Å, 60.00 60.00 60.00°
Atoms (fractional coordinates):
Pu: 0.000 0.000 0.000
Zr: 0.250 0.250 0.250
Au: 0.750 0.750 0.750

Below is a geometry-optimized KBeIrW structure, with properties calculated at the PBE level.

Output
- Distance to the lowest polymorph of the same formula: 2.939 eV/f.u.

Cell: 4.490 4.490 4.490 Å, 60.00 60.00 60.00°
Atoms (fractional coordinates):
K: 0.000 0.000 0.000
Be: 0.500 0.500 0.500
Ir: 0.750 0.750 0.750
W: 0.250 0.250 0.250

Below is a geometry-optimized AlMoAu2 structure, with properties calculated at the PBE level.

Output
- Total energy: -20.48 eV/cell

Cell: 4.569 4.569 4.569 Å, 60.00 60.00 60.00°
Atoms (fractional coordinates):
Al: 0.000 0.000 0.000
Mo: 0.250 0.250 0.250
Au: 0.500 0.500 0.500
Au: 0.750 0.750 0.750

Below is a geometry-optimized DyOs structure, with properties calculated at the PBE level.

Output
- Energy of formation from the pure elements: 1.63 eV per atom

Cell: 4.412 4.412 4.412 Å, 60.00 60.00 60.00°
Atoms (fractional coordinates):
Dy: 0.000 0.000 0.000
Os: 0.750 0.750 0.750

Below is a geometry-optimized SrThTc structure, with properties calculated at the PBE level.

Output
- Total energy: -14.72 eV/cell

Cell: 4.905 4.905 4.905 Å, 60.00 60.00 60.00°
Atoms (fractional coordinates):
Sr: 0.000 0.000 0.000
Th: 0.750 0.750 0.750
Tc: 0.250 0.250 0.250

Below is a geometry-optimized Li2TlHg structure, with properties calculated at the PBE level.

Output
- Total energy: -14.64 eV/cell

Cell: 4.749 4.749 8.236 Å, 90.00 90.00 120.00°
Atoms (fractional coordinates):
Li: 0.333 0.667 0.087
Li: 0.333 0.667 0.413
Li: 0.667 0.333 0.587
Li: 0.667 0.333 0.913
Tl: 0.000 0.000 0.000
Tl: 0.000 0.000 0.500
Hg: 0.333 0.667 0.750
Hg: 0.667 0.333 0.250